The following is a DFT calculation (GGA-PBEsol) of an optimized crystal structure of GeHPbAu2.

It has space group P4/mmm (No. 123), with a = 5.234 Å, b = 5.234 Å, c = 5.506 Å, α = 90.00°, β = 90.00° and γ = 90.00°. The inequivalent atoms are Ge at (0.000, 0.000, 0.000), H at (0.500, 0.500, 0.000), Pb at (0.000, 0.000, 0.500) and Au at (0.000, 0.500, 0.500).

The raw total energy is -13.6 eV/f.u. The total magnetic moment is 0.6 Bohr magnetons per cell.